Record 1
! Sc2CS PBEsol relaxed; values from VASP
! - DFT total energy (eV/atom) = -7.30
! - total moment (μB/f.u.) = 0.00
! - SG = No. 225
! - formation energy (no corrections) (meV/atom) = -487
&SYSTEM
  ibrav = 0, nat = 4, ntyp = 3
/
ATOMIC_SPECIES
Sc 44.96 Sc.upf
C 12.01 C.upf
S 32.06 S.upf
ATOMIC_POSITIONS angstrom
Sc 1.518 1.518 1.518
Sc 4.554 4.554 4.554
C 0.000 0.000 0.000
S 3.036 3.036 3.036
CELL_PARAMETERS angstrom
0.000 3.036 3.036
3.036 0.000 3.036
3.036 3.036 0.000

***

Record 2
! Ho2AlNi2 PBEsol relaxed; values from VASP
! - DFT formation energy (meV per atom) = -561
! - DFT total energy (eV/atom) = -5.82
! - total moment (μB/f.u.) = 0.00
! - SG = No. 71
&SYSTEM
  ibrav = 0, nat = 5, ntyp = 3
/
ATOMIC_SPECIES
Ho 164.93 Ho.upf
Al 26.98 Al.upf
Ni 58.69 Ni.upf
ATOMIC_POSITIONS angstrom
Ho 0.000 0.000 1.641
Ho 0.000 0.000 6.466
Al 0.000 2.642 0.000
Ni 2.069 1.236 0.000
Ni 0.000 1.406 4.053
CELL_PARAMETERS angstrom
-2.069 2.642 4.053
2.069 -2.642 4.053
2.069 2.642 -4.053

***

Record 3
! AlCdHg2I PBEsol relaxed; values from VASP
! - DFT total energy (eV/atom) = -1.55
! - total moment (μB/f.u.) = 0.00
! - SG = No. 123
! - formation energy (no corrections) (meV/atom) = 92
&SYSTEM
  ibrav = 0, nat = 5, ntyp = 4
/
ATOMIC_SPECIES
Al 26.98 Al.upf
Cd 112.41 Cd.upf
Hg 200.59 Hg.upf
I 126.90 I.upf
ATOMIC_POSITIONS angstrom
Al 0.000 0.000 0.000
Cd 2.615 2.615 2.823
Hg 0.000 2.615 0.000
Hg 2.615 0.000 0.000
I 0.000 0.000 2.823
CELL_PARAMETERS angstrom
5.230 0.000 0.000
0.000 5.230 0.000
0.000 0.000 5.646

***

Record 4
! Li3Mn4SnO8 PBEsol relaxed; values from VASP
! - DFT total energy (eV/atom) = -7.27
! - total moment (μB/f.u.) = 18.93
! - SG = No. 12
! - formation energy (no corrections) (meV/atom) = -1566
&SYSTEM
  ibrav = 0, nat = 16, ntyp = 4
/
ATOMIC_SPECIES
Li 6.94 Li.upf
Mn 54.94 Mn.upf
Sn 118.71 Sn.upf
O 16.00 O.upf
ATOMIC_POSITIONS angstrom
Li 0.000 0.000 0.000
Li 0.877 1.530 2.507
Li 0.877 -1.530 2.507
Mn -1.737 0.000 2.507
Mn 2.614 1.530 0.000
Mn 2.614 -1.530 0.000
Mn 5.228 0.000 0.000
Sn 3.491 0.000 2.507
O -0.054 0.000 3.847
O 2.597 1.487 3.692
O 1.849 0.000 1.243
O 4.385 1.487 1.322
O 2.597 -1.487 3.692
O 5.133 0.000 3.771
O 4.385 -1.487 1.322
O 7.036 0.000 1.167
CELL_PARAMETERS angstrom
5.228 -3.060 0.000
5.228 3.060 0.000
-3.473 0.000 5.014

***

Record 5
! RbZnPdPb2 PBEsol relaxed; values from VASP
! - DFT formation energy (meV per atom) = 1621
! - DFT total energy (eV/atom) = -1.69
! - total moment (μB/f.u.) = 0.00
! - SG = No. 123
&SYSTEM
  ibrav = 0, nat = 5, ntyp = 4
/
ATOMIC_SPECIES
Rb 85.47 Rb.upf
Zn 65.41 Zn.upf
Pd 106.42 Pd.upf
Pb 207.20 Pb.upf
ATOMIC_POSITIONS angstrom
Rb 0.000 0.000 0.000
Zn 0.000 0.000 2.662
Pd 2.966 2.966 2.662
Pb 0.000 2.966 0.000
Pb 2.966 0.000 0.000
CELL_PARAMETERS angstrom
5.933 0.000 0.000
0.000 5.933 0.000
0.000 0.000 5.324

***

Record 6
! CoCuTc2I PBEsol relaxed; values from VASP
! - DFT total energy (eV/atom) = -5.14
! - total moment (μB/f.u.) = 3.48
! - SG = No. 123
! - formation energy (no corrections) (meV/atom) = 2131
&SYSTEM
  ibrav = 0, nat = 5, ntyp = 4
/
ATOMIC_SPECIES
Co 58.93 Co.upf
Cu 63.55 Cu.upf
Tc 98.00 Tc.upf
I 126.90 I.upf
ATOMIC_POSITIONS angstrom
Co 0.000 0.000 0.000
Cu 2.385 2.385 0.000
Tc 0.000 2.385 2.218
Tc 2.385 0.000 2.218
I 0.000 0.000 2.218
CELL_PARAMETERS angstrom
4.769 0.000 0.000
0.000 4.769 0.000
0.000 0.000 4.435

***

Record 7
! Y2InW PBEsol relaxed; values from VASP
! - DFT formation energy (meV per atom) = 335
! - DFT total energy (eV/atom) = -7.27
! - total moment (μB/f.u.) = 0.01
! - SG = No. 99
&SYSTEM
  ibrav = 0, nat = 4, ntyp = 3
/
ATOMIC_SPECIES
Y 88.91 Y.upf
In 114.82 In.upf
W 183.84 W.upf
ATOMIC_POSITIONS angstrom
Y 0.000 0.000 0.000
Y 1.552 1.552 3.068
In 0.000 0.000 5.428
W 1.552 1.552 7.394
CELL_PARAMETERS angstrom
3.103 0.000 0.000
0.000 3.103 0.000
0.000 0.000 9.589

***

Record 8
! BaSr2Cd2 PBEsol relaxed; values from VASP
! - DFT formation energy (meV per atom) = -209
! - DFT total energy (eV/atom) = -1.85
! - total moment (μB/f.u.) = 0.00
! - SG = No. 127
&SYSTEM
  ibrav = 0, nat = 10, ntyp = 3
/
ATOMIC_SPECIES
Ba 137.33 Ba.upf
Sr 87.62 Sr.upf
Cd 112.41 Cd.upf
ATOMIC_POSITIONS angstrom
Ba 0.000 0.000 0.000
Ba 4.760 4.760 0.000
Sr 1.272 3.488 0.000
Sr 3.488 8.248 0.000
Sr 6.032 1.272 0.000
Sr 8.248 6.032 0.000
Cd 1.544 6.304 1.912
Cd 3.217 1.544 1.912
Cd 6.304 7.977 1.912
Cd 7.977 3.217 1.912
CELL_PARAMETERS angstrom
9.521 0.000 0.000
0.000 9.521 0.000
0.000 0.000 3.824

***

Record 9
! LiMg14MnO16 PBEsol relaxed; values from VASP
! - E above lowest polymorph (eV/atom) = 0.011
! - DFT total energy (eV/atom) = -6.35
! - total moment (μB/f.u.) = 4.00
! - SG = No. 123
! - formation energy (no corrections) (meV/atom) = -2609
&SYSTEM
  ibrav = 0, nat = 32, ntyp = 4
/
ATOMIC_SPECIES
Li 6.94 Li.upf
Mg 24.30 Mg.upf
Mn 54.94 Mn.upf
O 16.00 O.upf
ATOMIC_POSITIONS angstrom
Li 0.000 0.000 0.000
Mg 0.000 2.041 2.102
Mg 0.000 4.204 0.000
Mg 0.000 6.367 2.102
Mg 2.041 0.000 2.102
Mg 2.046 2.046 0.000
Mg 2.046 6.362 0.000
Mg 2.074 4.204 2.102
Mg 4.204 0.000 0.000
Mg 4.204 2.074 2.102
Mg 4.204 6.335 2.102
Mg 6.335 4.204 2.102
Mg 6.367 0.000 2.102
Mg 6.362 2.046 0.000
Mg 6.362 6.362 0.000
Mn 4.204 4.204 0.000
O 0.000 0.000 2.102
O 0.000 2.184 0.000
O 0.000 4.204 2.102
O 0.000 6.224 0.000
O 2.119 2.119 2.102
O 2.119 6.289 2.102
O 2.184 0.000 0.000
O 2.197 4.204 0.000
O 4.204 0.000 2.102
O 4.204 2.197 0.000
O 4.204 4.204 2.102
O 4.204 6.211 0.000
O 6.211 4.204 0.000
O 6.224 0.000 0.000
O 6.289 2.119 2.102
O 6.289 6.289 2.102
CELL_PARAMETERS angstrom
8.408 0.000 0.000
0.000 8.408 0.000
0.000 0.000 4.203

***

Record 10
! Li3LaSb2 PBEsol relaxed; values from VASP
! - DFT total energy (eV/atom) = -4.28
! - total moment (μB/f.u.) = 0.00
! - SG = No. 164
! - formation energy (no corrections) (meV/atom) = -891
&SYSTEM
  ibrav = 0, nat = 6, ntyp = 3
/
ATOMIC_SPECIES
Li 6.94 Li.upf
La 138.91 La.upf
Sb 121.76 Sb.upf
ATOMIC_POSITIONS angstrom
Li 0.000 0.000 0.000
Li 0.000 2.649 1.060
Li 2.294 1.325 6.283
La 0.000 0.000 3.671
Sb 0.000 2.649 5.560
Sb 2.294 1.325 1.783
CELL_PARAMETERS angstrom
4.589 0.000 0.000
-2.294 3.974 0.000
0.000 0.000 7.343

***

Record 11
! InTeBr PBEsol relaxed; values from VASP
! - DFT total energy (eV/atom) = -3.00
! - total moment (μB/f.u.) = 0.00
! - SG = No. 216
! - formation energy (no corrections) (meV/atom) = -204
&SYSTEM
  ibrav = 0, nat = 3, ntyp = 3
/
ATOMIC_SPECIES
In 114.82 In.upf
Te 127.60 Te.upf
Br 79.90 Br.upf
ATOMIC_POSITIONS angstrom
In 0.000 0.000 0.000
Te 1.782 1.782 1.782
Br 5.347 5.347 5.347
CELL_PARAMETERS angstrom
0.000 3.564 3.564
3.564 0.000 3.564
3.564 3.564 0.000

***

Record 12
! MgBeSi4 PBEsol relaxed; values from VASP
! - DFT total energy (eV/atom) = -4.39
! - total moment (μB/f.u.) = 0.00
! - SG = No. 216
! - formation energy (no corrections) (meV/atom) = 396
&SYSTEM
  ibrav = 0, nat = 6, ntyp = 3
/
ATOMIC_SPECIES
Mg 24.30 Mg.upf
Be 9.01 Be.upf
Si 28.09 Si.upf
ATOMIC_POSITIONS angstrom
Mg 0.000 0.000 0.000
Be 5.306 5.306 5.306
Si 2.657 2.657 2.657
Si 4.418 4.418 2.657
Si 4.418 2.657 4.418
Si 2.657 4.418 4.418
CELL_PARAMETERS angstrom
0.000 3.538 3.538
3.538 0.000 3.538
3.538 3.538 0.000

***

Record 13
! MgSn2Pb PBEsol relaxed; values from VASP
! - DFT formation energy (meV per atom) = 10
! - DFT total energy (eV/atom) = -3.55
! - total moment (μB/f.u.) = 0.00
! - SG = No. 225
&SYSTEM
  ibrav = 0, nat = 4, ntyp = 3
/
ATOMIC_SPECIES
Mg 24.30 Mg.upf
Sn 118.71 Sn.upf
Pb 207.20 Pb.upf
ATOMIC_POSITIONS angstrom
Mg 0.000 0.000 0.000
Sn 1.875 1.875 1.875
Sn 5.625 5.625 5.625
Pb 3.750 3.750 3.750
CELL_PARAMETERS angstrom
0.000 3.750 3.750
3.750 0.000 3.750
3.750 3.750 0.000

***

Record 14
! SbSeI2N PBEsol relaxed; values from VASP
! - DFT total energy (eV/atom) = -2.69
! - total moment (μB/f.u.) = 4.47
! - SG = No. 123
! - formation energy (no corrections) (meV/atom) = 1403
&SYSTEM
  ibrav = 0, nat = 5, ntyp = 4
/
ATOMIC_SPECIES
Sb 121.76 Sb.upf
Se 78.96 Se.upf
I 126.90 I.upf
N 14.01 N.upf
ATOMIC_POSITIONS angstrom
Sb 0.000 0.000 0.000
Se 0.000 0.000 2.790
I 0.000 2.859 2.790
I 2.859 0.000 2.790
N 2.859 2.859 0.000
CELL_PARAMETERS angstrom
5.718 0.000 0.000
0.000 5.718 0.000
0.000 0.000 5.581

***

Record 15
! BaMo2Pb PBEsol relaxed; values from VASP
! - DFT formation energy (meV per atom) = 1265
! - DFT total energy (eV/atom) = -6.16
! - total moment (μB/f.u.) = 0.00
! - SG = No. 123
&SYSTEM
  ibrav = 0, nat = 4, ntyp = 3
/
ATOMIC_SPECIES
Ba 137.33 Ba.upf
Mo 95.94 Mo.upf
Pb 207.20 Pb.upf
ATOMIC_POSITIONS angstrom
Ba 0.000 0.000 0.000
Mo 0.000 2.389 1.820
Mo 2.389 0.000 1.820
Pb 2.389 2.389 0.000
CELL_PARAMETERS angstrom
4.778 0.000 0.000
0.000 4.778 0.000
0.000 0.000 3.640

***

Record 16
! NiAg2Sn3S8 PBEsol relaxed; values from VASP
! - DFT total energy (eV/atom) = -4.68
! - total moment (μB/f.u.) = 1.79
! - SG = No. 166
! - formation energy (no corrections) (meV/atom) = -348
&SYSTEM
  ibrav = 0, nat = 14, ntyp = 4
/
ATOMIC_SPECIES
Ni 58.69 Ni.upf
Ag 107.87 Ag.upf
Sn 118.71 Sn.upf
S 32.06 S.upf
ATOMIC_POSITIONS angstrom
Ni 0.000 0.000 0.000
Ag 0.000 0.000 6.983
Ag 0.000 0.000 10.862
Sn -3.744 0.000 8.922
Sn -1.872 1.081 2.974
Sn 1.872 1.081 2.974
S -2.085 -1.204 10.460
S 0.000 -2.408 7.385
S -2.085 1.204 7.385
S 0.000 0.000 4.428
S 0.000 0.000 13.416
S 2.085 -1.204 10.460
S 0.000 2.408 10.460
S 2.085 1.204 7.385
CELL_PARAMETERS angstrom
3.744 2.161 5.948
-3.744 2.161 5.948
0.000 -4.323 5.948

***

Record 17
! CdTc2Ir PBEsol relaxed; values from VASP
! - DFT formation energy (meV per atom) = 378
! - DFT total energy (eV/atom) = -8.01
! - total moment (μB/f.u.) = 0.01
! - SG = No. 44
&SYSTEM
  ibrav = 0, nat = 4, ntyp = 3
/
ATOMIC_SPECIES
Cd 112.41 Cd.upf
Tc 98.00 Tc.upf
Ir 192.22 Ir.upf
ATOMIC_POSITIONS angstrom
Cd 0.000 0.000 0.000
Tc 0.000 0.000 4.761
Tc 0.000 2.344 2.117
Ir 1.396 0.000 2.550
CELL_PARAMETERS angstrom
-1.396 2.344 4.714
1.396 -2.344 4.714
1.396 2.344 -4.714

***

Record 18
! Mg2P2O7 PBEsol relaxed; values from VASP
! - DFT total energy (eV/atom) = -7.28
! - total moment (μB/f.u.) = 0.00
! - SG = No. 14
! - formation energy (no corrections) (meV/atom) = -2571
&SYSTEM
  ibrav = 0, nat = 44, ntyp = 3
/
ATOMIC_SPECIES
Mg 24.30 Mg.upf
P 30.97 P.upf
O 16.00 O.upf
ATOMIC_POSITIONS angstrom
Mg 0.191 0.499 2.698
Mg -1.643 3.659 6.848
Mg -1.405 0.579 7.389
Mg 0.429 3.579 3.239
Mg 2.872 4.737 5.062
Mg 4.706 7.737 0.912
Mg 4.945 4.657 1.453
Mg 3.111 7.818 5.603
P -3.336 6.041 8.020
P -1.502 6.434 3.870
P 2.138 6.094 2.157
P 0.304 6.381 6.308
P 2.998 1.935 1.993
P 1.164 2.223 6.144
P 4.804 1.882 4.432
P 6.638 2.276 0.281
O -2.278 0.746 5.449
O -0.444 3.412 1.298
O -1.088 5.078 3.281
O -2.922 7.397 7.431
O -0.789 1.966 3.762
O -2.623 2.192 7.913
O 1.378 5.582 0.828
O -0.456 6.892 4.979
O 1.540 2.009 2.460
O -0.294 2.149 6.610
O -0.279 5.067 6.752
O 1.555 7.408 2.602
O 1.932 4.963 3.172
O 0.098 7.511 7.323
O 3.203 0.805 0.978
O 1.369 3.353 5.129
O 1.747 0.909 5.699
O 3.581 3.250 1.549
O 3.595 6.168 1.691
O 1.761 6.307 5.841
O 3.758 1.424 3.322
O 1.924 2.734 7.473
O 5.924 6.124 0.389
O 4.090 6.350 4.539
O 6.224 0.920 0.870
O 4.390 3.239 5.021
O 3.746 4.905 7.003
O 5.580 7.570 2.852
CELL_PARAMETERS angstrom
6.970 0.000 0.000
0.000 8.316 0.000
-3.668 0.000 8.301

***

Record 19
! LiCu2Pb PBEsol relaxed; values from VASP
! - DFT formation energy (meV per atom) = 199
! - DFT total energy (eV/atom) = -3.46
! - total moment (μB/f.u.) = 0.00
! - SG = No. 12
&SYSTEM
  ibrav = 0, nat = 4, ntyp = 3
/
ATOMIC_SPECIES
Li 6.94 Li.upf
Cu 63.55 Cu.upf
Pb 207.20 Pb.upf
ATOMIC_POSITIONS angstrom
Li 0.000 0.000 0.000
Cu 0.644 2.285 1.287
Cu 0.644 -2.285 1.287
Pb 2.719 0.000 0.000
CELL_PARAMETERS angstrom
2.719 -4.571 0.000
2.719 4.571 0.000
-1.431 0.000 2.574

***

Record 20
! CrGePCl2 PBEsol relaxed; values from VASP
! - DFT total energy (eV/atom) = -4.95
! - total moment (μB/f.u.) = 3.03
! - SG = No. 123
! - formation energy (no corrections) (meV/atom) = 51
&SYSTEM
  ibrav = 0, nat = 5, ntyp = 4
/
ATOMIC_SPECIES
Cr 52.00 Cr.upf
Ge 72.64 Ge.upf
P 30.97 P.upf
Cl 35.45 Cl.upf
ATOMIC_POSITIONS angstrom
Cr 0.000 0.000 0.000
Ge 2.258 2.258 2.438
P 0.000 0.000 2.438
Cl 0.000 2.258 0.000
Cl 2.258 0.000 0.000
CELL_PARAMETERS angstrom
4.515 0.000 0.000
0.000 4.515 0.000
0.000 0.000 4.876

***

Record 21
! LaAlI2O PBEsol relaxed; values from VASP
! - DFT total energy (eV/atom) = -4.83
! - total moment (μB/f.u.) = 0.00
! - SG = No. 123
! - formation energy (no corrections) (meV/atom) = -1186
&SYSTEM
  ibrav = 0, nat = 5, ntyp = 4
/
ATOMIC_SPECIES
La 138.91 La.upf
Al 26.98 Al.upf
I 126.90 I.upf
O 16.00 O.upf
ATOMIC_POSITIONS angstrom
La 0.000 0.000 0.000
Al 3.209 3.209 2.145
I 0.000 3.209 0.000
I 3.209 0.000 0.000
O 0.000 0.000 2.145
CELL_PARAMETERS angstrom
6.418 0.000 0.000
0.000 6.418 0.000
0.000 0.000 4.290

***

Record 22
! TiCl3 PBEsol relaxed; values from VASP
! - DFT total energy (eV/atom) = -5.18
! - total moment (μB/f.u.) = 1.00
! - SG = No. 162
! - formation energy (no corrections) (meV/atom) = -1595
&SYSTEM
  ibrav = 0, nat = 8, ntyp = 2
/
ATOMIC_SPECIES
Ti 47.87 Ti.upf
Cl 35.45 Cl.upf
ATOMIC_POSITIONS angstrom
Ti 0.000 3.410 0.000
Ti 2.953 1.705 0.000
Cl -1.010 1.750 1.399
Cl -1.943 3.365 4.699
Cl 2.020 0.000 1.399
Cl 1.010 1.750 4.699
Cl 3.886 0.000 4.699
Cl 1.943 3.365 1.399
CELL_PARAMETERS angstrom
5.906 0.000 0.000
-2.953 5.115 0.000
0.000 0.000 6.098

***

Record 23
! RbAsS2N PBEsol relaxed; values from VASP
! - DFT total energy (eV/atom) = -4.31
! - total moment (μB/f.u.) = 1.61
! - SG = No. 123
! - formation energy (no corrections) (meV/atom) = 374
&SYSTEM
  ibrav = 0, nat = 5, ntyp = 4
/
ATOMIC_SPECIES
Rb 85.47 Rb.upf
As 74.92 As.upf
S 32.06 S.upf
N 14.01 N.upf
ATOMIC_POSITIONS angstrom
Rb 0.000 0.000 0.000
As 2.471 2.471 1.994
S 0.000 2.471 1.994
S 2.471 0.000 1.994
N 2.471 2.471 0.000
CELL_PARAMETERS angstrom
4.943 0.000 0.000
0.000 4.943 0.000
0.000 0.000 3.989

***

Record 24
! La2SiAu PBEsol relaxed; values from VASP
! - DFT total energy (eV/atom) = -5.83
! - total moment (μB/f.u.) = 0.00
! - SG = No. 38
! - formation energy (no corrections) (meV/atom) = -739
&SYSTEM
  ibrav = 0, nat = 4, ntyp = 3
/
ATOMIC_SPECIES
La 138.91 La.upf
Si 28.09 Si.upf
Au 196.97 Au.upf
ATOMIC_POSITIONS angstrom
La 0.000 0.000 0.000
La 2.165 0.000 3.127
Si 0.000 0.000 7.919
Au 2.165 0.000 6.318
CELL_PARAMETERS angstrom
4.331 0.000 0.000
0.000 2.159 5.536
0.000 -2.159 5.536